(1)
Compound: LaNd2Br
Source: Alexandria via LeMat-Bulk
Functional: PBE
Structure: optimized geometry

Cell lengths 3.770, 3.770, 32.112 Å; angles 90.00, 90.00, 120.00 degrees
Atoms (fractional coordinates):
1 La 0.000 0.000 0.000
2 La 0.333 0.667 0.667
3 La 0.667 0.333 0.333
4 Nd 0.000 0.000 0.573
5 Nd 0.000 0.000 0.760
6 Nd 0.333 0.667 0.240
7 Nd 0.333 0.667 0.427
8 Nd 0.667 0.333 0.093
9 Nd 0.667 0.333 0.907
10 Br 0.000 0.000 0.167
11 Br 0.333 0.667 0.833
12 Br 0.667 0.333 0.500

## Properties
Electronic total energy = -4.57 eV/atom
Magnetization = 0.200 μB per formula unit
Calculated volume = 395 Å³/cell



(2)
Compound: LiCaHIr
Source: Alexandria via LeMat-Bulk
Functional: PBE
Structure: optimized geometry

Cell lengths 3.114, 4.860, 5.021 Å; angles 90.00, 107.57, 90.00 degrees
Atoms (fractional coordinates):
1 Li 0.000 0.000 0.000
2 Ca 0.252 0.500 0.514
3 H 0.316 0.000 0.649
4 Ir 0.727 0.000 0.464

## Properties
Electronic total energy = -4.24 eV/atom
Magnetization = 0.000 μB per formula unit
Calculated volume = 72 Å³/cell



(3)
Compound: Li3NiSe
Source: Alexandria via LeMat-Bulk
Functional: PBE
Structure: optimized geometry

Cell lengths 4.782, 4.782, 4.782 Å; angles 90.00, 90.00, 90.00 degrees
Atoms (fractional coordinates):
1 Li 0.000 0.000 0.500
2 Li 0.000 0.500 0.000
3 Li 0.500 0.000 0.000
4 Ni 0.500 0.500 0.500
5 Se 0.000 0.000 0.000

## Properties
Electronic total energy = -3.12 eV/atom
Magnetization = 1.000 μB per formula unit
Calculated volume = 109 Å³/cell